1.
A relaxed structure of LiCd2Fe, computed with PBEsol.

Output
Total magnetic moment in μB per cell: 7.72
Total DFT energy (no corrections) in eV/atom: -3.18

Lattice parameters (Å, degrees): 2.8773 2.8773 27.8932 90.00 90.00 120.00
Space group R-3m (No. 166, hexagonal axes)
Asymmetric unit:
1 Li 0.0000 0.0000 0.0000 (multiplicity 3)
2 Cd 0.0000 0.0000 0.2472 (multiplicity 6)
3 Fe 0.0000 0.0000 0.5000 (multiplicity 3)

=====

2.
A relaxed structure of LiCdFe2, computed with PBEsol.

Output
Total magnetic moment in μB per cell: 9.49
Total DFT energy (no corrections) in eV/atom: -4.91

Lattice parameters (Å, degrees): 4.9980 8.4152 2.6005 90.00 90.00 90.00
Space group Cmmm (No. 65)
Asymmetric unit:
1 Li 0.0000 0.0000 0.0000 (multiplicity 2)
2 Cd 0.0000 0.5000 0.0000 (multiplicity 2)
3 Fe 0.2500 0.2500 0.5000 (multiplicity 4)

=====

3.
A relaxed structure of LiCd2Fe, computed with PBEsol.

Output
Total magnetic moment in μB per cell: 2.35
Total DFT energy (no corrections) in eV/atom: -3.25

Lattice parameters (Å, degrees): 4.6330 4.6330 2.9552 90.00 90.00 90.00
Space group P4/mmm (No. 123)
Asymmetric unit:
1 Li 0.0000 0.0000 0.0000 (multiplicity 1)
2 Cd 0.0000 0.5000 0.5000 (multiplicity 2)
3 Fe 0.5000 0.5000 0.0000 (multiplicity 1)

=====

4.
A relaxed structure of LiCdFe2, computed with PBEsol.

Output
Total magnetic moment in μB per cell: 4.52
Total DFT energy (no corrections) in eV/atom: -4.99

Lattice parameters (Å, degrees): 3.5187 3.5187 4.2459 90.00 90.00 90.00
Space group P4/mmm (No. 123)
Asymmetric unit:
1 Li 0.0000 0.0000 0.0000 (multiplicity 1)
2 Cd 0.5000 0.5000 0.0000 (multiplicity 1)
3 Fe 0.0000 0.5000 0.5000 (multiplicity 2)

=====

5.
A relaxed structure of LiCdFe2, computed with PBEsol.

Output
Total magnetic moment in μB per cell: 4.77
Total DFT energy (no corrections) in eV/atom: -4.91

Lattice parameters (Å, degrees): 2.5960 4.1732 5.0500 90.00 90.00 90.00
Space group Pmmm (No. 47)
Asymmetric unit:
1 Li 0.0000 0.0000 0.0000 (multiplicity 1)
2 Cd 0.0000 0.0000 0.5000 (multiplicity 1)
3 Fe 0.5000 0.5000 0.2348 (multiplicity 2)

=====

6.
A relaxed structure of LiCd2Fe, computed with PBEsol.

Output
Total magnetic moment in μB per cell: 11.28
Total DFT energy (no corrections) in eV/atom: -3.09

Lattice parameters (Å, degrees): 6.4109 6.4109 6.4109 90.00 90.00 90.00
Space group F-43m (No. 216)
Asymmetric unit:
1 Li 0.0000 0.0000 0.0000 (multiplicity 4)
2 Cd 0.0000 0.0000 0.5000 (multiplicity 4)
3 Cd 0.2500 0.2500 0.7500 (multiplicity 4)
4 Fe 0.2500 0.2500 0.2500 (multiplicity 4)

=====

7.
A relaxed structure of Mg2CdFe, computed with PBEsol.

Output
Total magnetic moment in μB per cell: 7.11
Total DFT energy (no corrections) in eV/atom: -3.17

Lattice parameters (Å, degrees): 2.9496 2.9496 28.4547 90.00 90.00 120.00
Space group R-3m (No. 166, hexagonal axes)
Asymmetric unit:
1 Mg 0.0000 0.0000 0.2410 (multiplicity 6)
2 Cd 0.0000 0.0000 0.0000 (multiplicity 3)
3 Fe 0.0000 0.0000 0.5000 (multiplicity 3)

=====

8.
A relaxed structure of Mg2CdFe, computed with PBEsol.

Output
Total magnetic moment in μB per cell: 4.36
Total DFT energy (no corrections) in eV/atom: -3.20

Lattice parameters (Å, degrees): 3.1160 4.6827 9.7217 90.00 90.00 90.00
Space group Imm2 (No. 44)
Asymmetric unit:
1 Mg 0.0000 0.0000 0.0000 (multiplicity 2)
2 Mg 0.0000 0.5000 0.2174 (multiplicity 2)
3 Cd 0.0000 0.0000 0.4505 (multiplicity 2)
4 Fe 0.0000 0.5000 0.7260 (multiplicity 2)

=====

9.
A relaxed structure of MgCdFe2, computed with PBEsol.

Output
Total magnetic moment in μB per cell: 9.34
Total DFT energy (no corrections) in eV/atom: -4.87

Lattice parameters (Å, degrees): 5.3554 8.1486 2.7150 90.00 90.00 90.00
Space group Cmmm (No. 65)
Asymmetric unit:
1 Mg 0.0000 0.0000 0.0000 (multiplicity 2)
2 Cd 0.0000 0.5000 0.0000 (multiplicity 2)
3 Fe 0.2500 0.2500 0.5000 (multiplicity 4)

=====

10.
A relaxed structure of MgCdFe2, computed with PBEsol.

Output
Total magnetic moment in μB per cell: 9.33
Total DFT energy (no corrections) in eV/atom: -4.96

Lattice parameters (Å, degrees): 2.9965 4.5312 8.9135 90.00 90.00 90.00
Space group Imm2 (No. 44)
Asymmetric unit:
1 Mg 0.0000 0.0000 0.0000 (multiplicity 2)
2 Cd 0.0000 0.5000 0.7783 (multiplicity 2)
3 Fe 0.0000 0.0000 0.5410 (multiplicity 2)
4 Fe 0.0000 0.5000 0.2347 (multiplicity 2)

=====

11.
A relaxed structure of Mg2CdFe, computed with PBEsol.

Output
Total magnetic moment in μB per cell: 9.83
Total DFT energy (no corrections) in eV/atom: -3.14

Lattice parameters (Å, degrees): 6.5369 6.5369 6.5369 90.00 90.00 90.00
Space group F-43m (No. 216)
Asymmetric unit:
1 Mg 0.0000 0.0000 0.0000 (multiplicity 4)
2 Mg 0.2500 0.2500 0.2500 (multiplicity 4)
3 Cd 0.2500 0.2500 0.7500 (multiplicity 4)
4 Fe 0.0000 0.0000 0.5000 (multiplicity 4)

=====

12.
A relaxed structure of Mg3CdFe, computed with PBEsol.

Output
Total magnetic moment in μB per cell: 1.63
Total DFT energy (no corrections) in eV/atom: -2.47

Lattice parameters (Å, degrees): 4.8668 4.8668 4.8668 90.00 90.00 90.00
Space group Pm-3m (No. 221)
Asymmetric unit:
1 Mg 0.0000 0.0000 0.5000 (multiplicity 3)
2 Cd 0.5000 0.5000 0.5000 (multiplicity 1)
3 Fe 0.0000 0.0000 0.0000 (multiplicity 1)

=====

13.
A relaxed structure of MnCd2Fe, computed with PBEsol.

Output
Total magnetic moment in μB per cell: 21.92
ΔE to the lowest computed polymorph in kJ/mol of formula units: 33.8
Total DFT energy (no corrections) in eV/atom: -4.81

Lattice parameters (Å, degrees): 6.3025 6.3025 6.3025 90.00 90.00 90.00
Space group F-43m (No. 216)
Asymmetric unit:
1 Mn 0.0000 0.0000 0.0000 (multiplicity 4)
2 Cd 0.0000 0.0000 0.5000 (multiplicity 4)
3 Cd 0.2500 0.2500 0.7500 (multiplicity 4)
4 Fe 0.2500 0.2500 0.2500 (multiplicity 4)

=====

14.
A relaxed structure of Mn2CdFe, computed with PBEsol.

Output
Total magnetic moment in μB per cell: 18.35
Total DFT energy (no corrections) in eV/atom: -6.92

Lattice parameters (Å, degrees): 3.8713 3.8713 7.5471 90.00 90.00 90.00
Space group I4/mmm (No. 139)
Asymmetric unit:
1 Mn 0.0000 0.5000 0.2500 (multiplicity 4)
2 Cd 0.0000 0.0000 0.0000 (multiplicity 2)
3 Fe 0.0000 0.0000 0.5000 (multiplicity 2)

=====

15.
A relaxed structure of MnCd2Fe, computed with PBEsol.

Output
Total magnetic moment in μB per cell: 5.61
ΔE to the lowest computed polymorph in kJ/mol of formula units: 0.0
Total DFT energy (no corrections) in eV/atom: -4.90

Lattice parameters (Å, degrees): 2.8208 3.9262 5.6272 90.00 90.00 90.00
Space group Pmmm (No. 47)
Asymmetric unit:
1 Mn 0.0000 0.0000 0.0000 (multiplicity 1)
2 Cd 0.5000 0.5000 0.2530 (multiplicity 2)
3 Fe 0.0000 0.0000 0.5000 (multiplicity 1)

=====

16.
A relaxed structure of Cd2FeMo, computed with PBEsol.

Output
Total magnetic moment in μB per cell: 3.26
ΔE to the lowest computed polymorph in kJ/mol of formula units: 144.1
Total DFT energy (no corrections) in eV/atom: -5.22

Lattice parameters (Å, degrees): 6.3497 6.3497 6.3497 90.00 90.00 90.00
Space group F-43m (No. 216)
Asymmetric unit:
1 Cd 0.0000 0.0000 0.0000 (multiplicity 4)
2 Cd 0.2500 0.2500 0.2500 (multiplicity 4)
3 Fe 0.2500 0.2500 0.7500 (multiplicity 4)
4 Mo 0.0000 0.0000 0.5000 (multiplicity 4)

=====

17.
A relaxed structure of CdFe3Mo, computed with PBEsol.

Output
Total magnetic moment in μB per cell: 4.21
Total DFT energy (no corrections) in eV/atom: -6.57

Lattice parameters (Å, degrees): 4.3886 4.3886 4.3886 90.00 90.00 90.00
Space group Pm-3m (No. 221)
Asymmetric unit:
1 Cd 0.0000 0.0000 0.0000 (multiplicity 1)
2 Fe 0.0000 0.5000 0.5000 (multiplicity 3)
3 Mo 0.5000 0.5000 0.5000 (multiplicity 1)

=====

18.
A relaxed structure of Cd2FeMo, computed with PBEsol.

Output
Total magnetic moment in μB per cell: 0.01
ΔE to the lowest computed polymorph in kJ/mol of formula units: 0.0
Total DFT energy (no corrections) in eV/atom: -5.59

Lattice parameters (Å, degrees): 2.9073 2.9073 7.6024 90.00 90.00 90.00
Space group P4mm (No. 99)
Asymmetric unit:
1 Cd 0.0000 0.0000 0.0000 (multiplicity 1)
2 Cd 0.5000 0.5000 0.3018 (multiplicity 1)
3 Fe 0.0000 0.0000 0.5493 (multiplicity 1)
4 Mo 0.5000 0.5000 0.7166 (multiplicity 1)

=====

19.
A relaxed structure of Cd2FeMo, computed with PBEsol.

Output
Total magnetic moment in μB per cell: 5.99
ΔE to the lowest computed polymorph in kJ/mol of formula units: 149.7
Total DFT energy (no corrections) in eV/atom: -5.20

Lattice parameters (Å, degrees): 3.8873 3.8873 8.5773 90.00 90.00 90.00
Space group I4/mmm (No. 139)
Asymmetric unit:
1 Cd 0.0000 0.5000 0.2500 (multiplicity 4)
2 Fe 0.0000 0.0000 0.0000 (multiplicity 2)
3 Mo 0.0000 0.0000 0.5000 (multiplicity 2)

=====

20.
A relaxed structure of CdFeMo, computed with PBEsol.

Output
Total magnetic moment in μB per cell: 8.10
Total DFT energy (no corrections) in eV/atom: -5.84

Lattice parameters (Å, degrees): 6.0234 6.0234 6.0234 90.00 90.00 90.00
Space group F-43m (No. 216)
Asymmetric unit:
1 Cd 0.0000 0.0000 0.0000 (multiplicity 4)
2 Fe 0.2500 0.2500 0.7500 (multiplicity 4)
3 Mo 0.2500 0.2500 0.2500 (multiplicity 4)

=====

21.
A relaxed structure of ZrCd2FeMo, computed with PBEsol.

Output
Total magnetic moment in μB per cell: 1.34
Total DFT energy (no corrections) in eV/atom: -5.31

Lattice parameters (Å, degrees): 5.0741 5.0741 4.1992 90.00 90.00 90.00
Space group P4/mmm (No. 123)
Asymmetric unit:
1 Zr 0.0000 0.0000 0.0000 (multiplicity 1)
2 Cd 0.0000 0.5000 0.5000 (multiplicity 2)
3 Fe 0.5000 0.5000 0.0000 (multiplicity 1)
4 Mo 0.5000 0.5000 0.5000 (multiplicity 1)

=====

22.
A relaxed structure of NaCdFeN2, computed with PBEsol.

Output
Total magnetic moment in μB per cell: 5.38
ΔE_f (raw) in meV per atom: 2273
Total DFT energy (no corrections) in eV/atom: -3.45

Lattice parameters (Å, degrees): 4.1850 4.1850 4.2660 90.00 90.00 90.00
Space group P4/mmm (No. 123)
Asymmetric unit:
1 Na 0.0000 0.0000 0.0000 (multiplicity 1)
2 Cd 0.5000 0.5000 0.5000 (multiplicity 1)
3 Fe 0.0000 0.0000 0.5000 (multiplicity 1)
4 N 0.0000 0.5000 0.0000 (multiplicity 2)

=====

23.
A relaxed structure of CdFeS2N, computed with PBEsol.

Output
Total magnetic moment in μB per cell: 5.90
ΔE_f (raw) in meV per atom: 1503
Total DFT energy (no corrections) in eV/atom: -3.99

Lattice parameters (Å, degrees): 4.9516 4.9516 4.0115 90.00 90.00 90.00
Space group P4/mmm (No. 123)
Asymmetric unit:
1 Cd 0.0000 0.0000 0.0000 (multiplicity 1)
2 Fe 0.5000 0.5000 0.5000 (multiplicity 1)
3 S 0.0000 0.5000 0.0000 (multiplicity 2)
4 N 0.0000 0.0000 0.5000 (multiplicity 1)

=====

24.
A relaxed structure of CdFeTe2N, computed with PBEsol.

Output
Total magnetic moment in μB per cell: 0.31
ΔE_f (raw) in meV per atom: 109
Total DFT energy (no corrections) in eV/atom: -5.04

Lattice parameters (Å, degrees): 5.3438 5.3438 3.3747 90.00 90.00 90.00
Space group P4/mmm (No. 123)
Asymmetric unit:
1 Cd 0.0000 0.0000 0.0000 (multiplicity 1)
2 Fe 0.5000 0.5000 0.5000 (multiplicity 1)
3 Te 0.0000 0.5000 0.5000 (multiplicity 2)
4 N 0.5000 0.5000 0.0000 (multiplicity 1)

=====

25.
A relaxed structure of NaCdFe3, computed with PBEsol.

Output
Total magnetic moment in μB per cell: 8.01
Total DFT energy (no corrections) in eV/atom: -4.03

Lattice parameters (Å, degrees): 4.3786 4.3786 4.3786 90.00 90.00 90.00
Space group Pm-3m (No. 221)
Asymmetric unit:
1 Na 0.0000 0.0000 0.0000 (multiplicity 1)
2 Cd 0.5000 0.5000 0.5000 (multiplicity 1)
3 Fe 0.0000 0.0000 0.5000 (multiplicity 3)

=====

26.
A relaxed structure of Rb2NaCdFe, computed with PBEsol.

Output
Total magnetic moment in μB per cell: 3.30
Total DFT energy (no corrections) in eV/atom: -1.71

Lattice parameters (Å, degrees): 6.6570 6.6570 5.7330 90.00 90.00 90.00
Space group P4/mmm (No. 123)
Asymmetric unit:
1 Rb 0.0000 0.5000 0.0000 (multiplicity 2)
2 Na 0.0000 0.0000 0.5000 (multiplicity 1)
3 Cd 0.0000 0.0000 0.0000 (multiplicity 1)
4 Fe 0.5000 0.5000 0.5000 (multiplicity 1)

=====

27.
A relaxed structure of CdFeNi2, computed with PBEsol.

Output
Total magnetic moment in μB per cell: 7.11
Total DFT energy (no corrections) in eV/atom: -5.44

Lattice parameters (Å, degrees): 5.4258 6.9844 2.6869 90.00 90.00 90.00
Space group Cmmm (No. 65)
Asymmetric unit:
1 Cd 0.0000 0.0000 0.0000 (multiplicity 2)
2 Fe 0.0000 0.5000 0.0000 (multiplicity 2)
3 Ni 0.2500 0.2500 0.5000 (multiplicity 4)

=====

28.
A relaxed structure of CdFeNi2, computed with PBEsol.

Output
Total magnetic moment in μB per cell: 7.29
Total DFT energy (no corrections) in eV/atom: -5.41

Lattice parameters (Å, degrees): 2.8179 4.2348 8.5656 90.00 90.00 90.00
Space group Imm2 (No. 44)
Asymmetric unit:
1 Cd 0.0000 0.0000 0.0000 (multiplicity 2)
2 Fe 0.0000 0.5000 0.7701 (multiplicity 2)
3 Ni 0.0000 0.0000 0.4990 (multiplicity 2)
4 Ni 0.0000 0.5000 0.2365 (multiplicity 2)

=====

29.
A relaxed structure of CdFeNi2, computed with PBEsol.

Output
Total magnetic moment in μB per cell: 7.53
Total DFT energy (no corrections) in eV/atom: -5.48

Lattice parameters (Å, degrees): 3.8112 3.8112 6.9750 90.00 90.00 90.00
Space group I4/mmm (No. 139)
Asymmetric unit:
1 Cd 0.0000 0.0000 0.0000 (multiplicity 2)
2 Fe 0.0000 0.0000 0.5000 (multiplicity 2)
3 Ni 0.0000 0.5000 0.2500 (multiplicity 4)

=====

30.
A relaxed structure of Cd2FeNi, computed with PBEsol.

Output
Total magnetic moment in μB per cell: 13.07
ΔE to the lowest computed polymorph in kJ/mol of formula units: 6.8
Total DFT energy (no corrections) in eV/atom: -4.07

Lattice parameters (Å, degrees): 6.2336 6.2336 6.2336 90.00 90.00 90.00
Space group F-43m (No. 216)
Asymmetric unit:
1 Cd 0.0000 0.0000 0.0000 (multiplicity 4)
2 Cd 0.2500 0.2500 0.2500 (multiplicity 4)
3 Fe 0.2500 0.2500 0.7500 (multiplicity 4)
4 Ni 0.0000 0.0000 0.5000 (multiplicity 4)